# 1
The following is a DFT calculation (SCAN) of a crystal of NaSe relaxed with PBEsol.

Computed properties:
Final energy   -12.69 eV/atom
Symmetry   Fm-3m (225)
Uncorrected formation energy   -0.54 eV/atom
Fermi-level density of states   1.63 states/eV/f.u.

Unit cell a=4.1525 b=4.1525 c=4.1525 alpha=60.00 beta=60.00 gamma=60.00
Closest atoms and distances in Å follow each position.
Sites, in units of the cell vectors:
1 Na 0.0000 0.0000 0.0000  6 Se 2.94
2 Se 0.5000 0.5000 0.5000  6 Na 2.94


# 2
The following is a DFT calculation (SCAN) of a crystal of NaSe relaxed with PBEsol.

Computed properties:
Final energy   -13.11 eV/atom
Symmetry   P6_3/mmc (194)
Uncorrected formation energy   -0.97 eV/atom
Fermi-level density of states   0.79 states/eV/f.u.

Unit cell a=5.4655 b=7.9314 c=7.9314 alpha=120.00 beta=90.00 gamma=90.00
Closest atoms and distances in Å follow each position.
Sites, in units of the cell vectors:
1 Se 0.7500 0.0000 0.0000  2 Se 2.73, 6 Na 2.97-2.98
2 Se 0.2500 0.0000 0.0000  2 Se 2.73, 6 Na 2.97-2.98
3 Na 0.5000 0.3335 0.0000  6 Se 2.98
4 Se 0.7500 0.6667 0.3333  2 Se 2.73, 6 Na 2.98
5 Na 0.0000 0.0000 0.6669  6 Se 2.97-2.98
6 Na 0.5000 0.6665 0.6665  6 Se 2.98
7 Se 0.7500 0.3333 0.6667  2 Se 2.73, 6 Na 2.98
8 Se 0.2500 0.3333 0.6667  2 Se 2.73, 6 Na 2.98
9 Se 0.2500 0.6667 0.3333  2 Se 2.73, 6 Na 2.98
10 Na 0.0000 0.6669 0.0000  6 Se 2.97-2.98
11 Na 0.5000 0.0000 0.3335  6 Se 2.98
12 Na 0.0000 0.3331 0.3331  6 Se 2.97-2.98


# 3
The following is a DFT calculation (SCAN) of a crystal of NaSe relaxed with PBEsol.

Computed properties:
Final energy   -13.13 eV/atom
Symmetry   P6_3/mmc (194)
Uncorrected formation energy   -0.99 eV/atom

Unit cell a=4.6636 b=4.6636 c=10.5354 alpha=90.00 beta=90.00 gamma=120.00
Closest atoms and distances in Å follow each position.
Sites, in units of the cell vectors:
1 Se 0.6667 0.3333 0.3666  1 Se 2.46
2 Na 0.0000 0.0000 0.5000  6 Se 3.04
3 Na 0.0000 0.0000 0.0000  6 Se 3.04
4 Se 0.3333 0.6667 0.8666  1 Se 2.46
5 Se 0.6667 0.3333 0.1334  1 Se 2.46
6 Se 0.3333 0.6667 0.6334  1 Se 2.46
7 Na 0.3333 0.6667 0.2500  6 Se 2.96
8 Na 0.6667 0.3333 0.7500  6 Se 2.96


# 4
The following is a DFT calculation (SCAN) of a crystal of Na4SiSe4 relaxed with PBEsol.

Computed properties:
Final energy   -13.02 eV/atom
Symmetry   Pnma (62)
Uncorrected formation energy   -1.11 eV/atom
Fermi-level density of states   0.00 states/eV/f.u.

Unit cell a=7.1180 b=9.1978 c=14.0993 alpha=90.00 beta=90.00 gamma=90.00
Closest atoms and distances in Å follow each position.
Sites, in units of the cell vectors:
1 Se 0.9114 0.2500 0.1421  1 Si 2.28
2 Se 0.3500 0.0487 0.0932  1 Si 2.28
3 Se 0.4114 0.7500 0.3579  1 Si 2.28
4 Na 0.6436 0.4487 0.2343  5 Se 2.89-3.16, 1 Si 3.17
5 Si 0.7288 0.7500 0.3344  4 Se 2.28-2.30
6 Na 0.1436 0.5513 0.2657  5 Se 2.89-3.16, 1 Si 3.17
7 Se 0.0886 0.7500 0.8579  1 Si 2.28
8 Na 0.0000 0.5000 0.0000  4 Se 2.85-3.11
9 Na 0.8564 0.0513 0.7343  5 Se 2.89-3.16, 1 Si 3.17
10 Na 0.5000 0.0000 0.5000  4 Se 2.85-3.11
11 Na 0.0000 0.0000 0.0000  4 Se 2.85-3.11
12 Na 0.5028 0.7500 0.0513  5 Se 2.94-3.01
13 Si 0.2712 0.2500 0.6656  4 Se 2.28-2.30
14 Se 0.3500 0.4513 0.0932  1 Si 2.28
15 Na 0.3564 0.5513 0.7657  5 Se 2.89-3.16, 1 Si 3.17
16 Si 0.7712 0.7500 0.8344  4 Se 2.28-2.30
17 Se 0.1500 0.4513 0.5932  1 Si 2.28
18 Se 0.8500 0.5487 0.4068  1 Si 2.28
19 Na 0.6436 0.0513 0.2343  5 Se 2.89-3.16, 1 Si 3.17
20 Se 0.8500 0.9513 0.4068  1 Si 2.28
21 Na 0.4972 0.2500 0.9487  5 Se 2.94-3.01
22 Si 0.2288 0.2500 0.1656  4 Se 2.28-2.30
23 Se 0.1500 0.0487 0.5932  1 Si 2.28
24 Se 0.6500 0.5487 0.9068  1 Si 2.28
25 Se 0.6500 0.9513 0.9068  1 Si 2.28
26 Na 0.3564 0.9487 0.7657  5 Se 2.89-3.16, 1 Si 3.17
27 Se 0.5886 0.2500 0.6421  1 Si 2.28
28 Se 0.6713 0.7500 0.6796  1 Si 2.30
29 Se 0.1713 0.2500 0.8204  1 Si 2.30
30 Na 0.1436 0.9487 0.2657  5 Se 2.89-3.16, 1 Si 3.17
31 Na 0.8564 0.4487 0.7343  5 Se 2.89-3.16, 1 Si 3.17
32 Se 0.3287 0.2500 0.3204  1 Si 2.30
33 Na 0.5000 0.5000 0.5000  4 Se 2.85-3.11
34 Se 0.8287 0.7500 0.1796  1 Si 2.30
35 Na 0.9972 0.7500 0.5513  5 Se 2.94-3.01
36 Na 0.0028 0.2500 0.4487  5 Se 2.94-3.01


# 5
The following is a DFT calculation (SCAN) of a crystal of Na2SiSe relaxed with PBEsol.

Computed properties:
Final energy   -9.65 eV/atom
Symmetry   Fm-3m (225)
Uncorrected formation energy   -0.02 eV/atom
Fermi-level density of states   2.03 states/eV/f.u.

Unit cell a=4.9325 b=4.9325 c=4.9325 alpha=60.00 beta=60.00 gamma=60.00
Closest atoms and distances in Å follow each position.
Sites, in units of the cell vectors:
1 Na 0.2500 0.2500 0.2500  4 Se 3.02, 4 Si 3.02
2 Se 0.5000 0.5000 0.5000  8 Na 3.02
3 Si 0.0000 0.0000 0.0000  8 Na 3.02
4 Na 0.7500 0.7500 0.7500  4 Si 3.02, 4 Se 3.02


# 6
The following is a DFT calculation (SCAN) of a crystal of NaSmSe2 relaxed with PBEsol.

Computed properties:
Final energy   -24.14 eV/atom
Symmetry   R-3m (166)
Uncorrected formation energy   -1.94 eV/atom
Fermi-level density of states   0.00 states/eV/f.u.

Unit cell a=4.1702 b=4.1702 c=7.3054 alpha=73.42 beta=73.42 gamma=60.00
Closest atoms and distances in Å follow each position.
Sites, in units of the cell vectors:
1 Sm 0.5000 0.5000 0.5000  6 Se 2.90
2 Se 0.2450 0.2450 0.2649  3 Sm 2.90, 3 Na 3.02
3 Se 0.7550 0.7550 0.7351  3 Sm 2.90, 3 Na 3.02
4 Na 0.0000 0.0000 0.0000  6 Se 3.02


# 7
The following is a DFT calculation (SCAN) of a crystal of Na2SnSe3 relaxed with PBEsol.

Computed properties:
Final energy   -18.31 eV/atom
Symmetry   P2_1/c (14)
Uncorrected formation energy   -0.88 eV/atom
Fermi-level density of states   0.00 states/eV/f.u.

Unit cell a=6.0928 b=7.1415 c=16.2131 alpha=90.00 beta=90.00 gamma=112.17
Closest atoms and distances in Å follow each position.
Sites, in units of the cell vectors:
1 Na 0.8208 0.2374 0.4770  6 Se 2.94-3.17
2 Se 0.3163 0.1984 0.4486  1 Sn 2.50
3 Se 0.7344 0.0201 0.3188  2 Sn 2.57-2.60
4 Na 0.6792 0.7626 0.9770  6 Se 2.94-3.17
5 Se 0.5303 0.5857 0.1454  1 Sn 2.51
6 Se 0.2344 0.0201 0.1812  2 Sn 2.57-2.60
7 Se 0.8163 0.1984 0.0514  1 Sn 2.50
8 Se 0.4697 0.4143 0.8546  1 Sn 2.51
9 Se 0.9697 0.4143 0.6454  1 Sn 2.51
10 Sn 0.3752 0.0438 0.8347  4 Se 2.50-2.60
11 Se 0.2656 0.9799 0.6812  2 Sn 2.57-2.60
12 Na 0.1792 0.7626 0.5230  6 Se 2.94-3.17
13 Se 0.0303 0.5857 0.3546  1 Sn 2.51
14 Na 0.3208 0.2374 0.0230  6 Se 2.94-3.17
15 Se 0.6837 0.8016 0.5514  1 Sn 2.50
16 Sn 0.1248 0.9562 0.3347  4 Se 2.50-2.60
17 Sn 0.6248 0.9562 0.1653  4 Se 2.50-2.60
18 Na 0.9892 0.4525 0.8335  5 Se 2.98-3.14
19 Se 0.7656 0.9799 0.8188  2 Sn 2.57-2.60
20 Sn 0.8752 0.0438 0.6653  4 Se 2.50-2.60
21 Se 0.1837 0.8016 0.9486  1 Sn 2.50
22 Na 0.0108 0.5475 0.1665  5 Se 2.98-3.14
23 Na 0.4892 0.4525 0.6665  5 Se 2.98-3.14
24 Na 0.5108 0.5475 0.3335  5 Se 2.98-3.14


# 8
The following is a DFT calculation (SCAN) of a crystal of NaSrSe3 relaxed with PBEsol.

Computed properties:
Final energy   -17.81 eV/atom
Symmetry   Pm-3m (221)
Uncorrected formation energy   -0.46 eV/atom
Fermi-level density of states   2.40 states/eV/f.u.

Unit cell a=5.7719 b=5.7719 c=5.7719 alpha=90.00 beta=90.00 gamma=90.00
Closest atoms and distances in Å follow each position.
Sites, in units of the cell vectors:
1 Na 0.5000 0.5000 0.5000  12 Se 4.08
2 Se 0.0000 0.5000 0.0000  2 Sr 2.89
3 Sr 0.0000 0.0000 0.0000  6 Se 2.89
4 Se 0.0000 0.0000 0.5000  2 Sr 2.89
5 Se 0.5000 0.0000 0.0000  2 Sr 2.89


# 9
The following is a DFT calculation (SCAN) of a crystal of NaSr2Se2 relaxed with PBEsol.

Computed properties:
Final energy   -19.27 eV/atom
Symmetry   I4/mmm (139)
Uncorrected formation energy   -1.48 eV/atom
Fermi-level density of states   1.59 states/eV/f.u.

Unit cell a=5.9579 b=5.9579 c=7.7349 alpha=112.65 beta=112.65 gamma=90.00
Closest atoms and distances in Å follow each position.
Sites, in units of the cell vectors:
1 Sr 0.2500 0.7500 0.5000  4 Se 3.01
2 Sr 0.7500 0.2500 0.5000  4 Se 3.01
3 Na 0.0000 0.0000 0.0000  2 Se 2.82
4 Se 0.7827 0.7827 0.5654  1 Na 2.82, 4 Sr 3.01
5 Se 0.2173 0.2173 0.4346  1 Na 2.82, 4 Sr 3.01


# 10
The following is a DFT calculation (SCAN) of a crystal of Na2SrTaSe relaxed with PBEsol.

Computed properties:
Final energy   -23.07 eV/atom
Symmetry   P4/mmm (123)
Uncorrected formation energy   0.40 eV/atom
Fermi-level density of states   4.80 states/eV/f.u.

Unit cell a=5.3295 b=5.3295 c=5.9167 alpha=90.00 beta=90.00 gamma=90.00
Closest atoms and distances in Å follow each position.
Sites, in units of the cell vectors:
1 Ta 0.5000 0.5000 0.5000  4 Sr 3.77, 8 Na 3.98
2 Se 0.0000 0.0000 0.0000  4 Na 2.66, 2 Sr 2.96
3 Sr 0.0000 0.0000 0.5000  2 Se 2.96
4 Na 0.0000 0.5000 0.0000  2 Se 2.66
5 Na 0.5000 0.0000 0.0000  2 Se 2.66


# 11
The following is a DFT calculation (SCAN) of a crystal of NaTaSe3 relaxed with PBEsol.

Computed properties:
Final energy   -26.88 eV/atom
Symmetry   Pm-3m (221)
Uncorrected formation energy   -0.67 eV/atom
Fermi-level density of states   2.40 states/eV/f.u.

Unit cell a=5.0273 b=5.0273 c=5.0273 alpha=90.00 beta=90.00 gamma=90.00
Closest atoms and distances in Å follow each position.
Sites, in units of the cell vectors:
1 Na 0.5000 0.5000 0.5000  12 Se 3.55
2 Se 0.0000 0.0000 0.5000  2 Ta 2.51
3 Se 0.5000 0.0000 0.0000  2 Ta 2.51
4 Ta 0.0000 0.0000 0.0000  6 Se 2.51
5 Se 0.0000 0.5000 0.0000  2 Ta 2.51


# 12
The following is a DFT calculation (SCAN) of a crystal of Na3TcSe relaxed with PBEsol.

Computed properties:
Final energy   -12.62 eV/atom
Symmetry   Pm-3m (221)
Uncorrected formation energy   0.94 eV/atom
Fermi-level density of states   6.27 states/eV/f.u.

Unit cell a=5.5369 b=5.5369 c=5.5369 alpha=90.00 beta=90.00 gamma=90.00
Closest atoms and distances in Å follow each position.
Sites, in units of the cell vectors:
1 Tc 0.0000 0.0000 0.0000  6 Na 2.77
2 Na 0.5000 0.0000 0.0000  2 Tc 2.77
3 Na 0.0000 0.0000 0.5000  2 Tc 2.77
4 Se 0.5000 0.5000 0.5000  12 Na 3.92
5 Na 0.0000 0.5000 0.0000  2 Tc 2.77


Question: Among the records above, which one has the lowest uncorrected formation energy?
Answer: NaSmSe2


Please write out number 7 again, unchanged.
The following is a DFT calculation (SCAN) of a crystal of Na2SnSe3 relaxed with PBEsol.

Computed properties:
Final energy   -18.31 eV/atom
Symmetry   P2_1/c (14)
Uncorrected formation energy   -0.88 eV/atom
Fermi-level density of states   0.00 states/eV/f.u.

Unit cell a=6.0928 b=7.1415 c=16.2131 alpha=90.00 beta=90.00 gamma=112.17
Closest atoms and distances in Å follow each position.
Sites, in units of the cell vectors:
1 Na 0.8208 0.2374 0.4770  6 Se 2.94-3.17
2 Se 0.3163 0.1984 0.4486  1 Sn 2.50
3 Se 0.7344 0.0201 0.3188  2 Sn 2.57-2.60
4 Na 0.6792 0.7626 0.9770  6 Se 2.94-3.17
5 Se 0.5303 0.5857 0.1454  1 Sn 2.51
6 Se 0.2344 0.0201 0.1812  2 Sn 2.57-2.60
7 Se 0.8163 0.1984 0.0514  1 Sn 2.50
8 Se 0.4697 0.4143 0.8546  1 Sn 2.51
9 Se 0.9697 0.4143 0.6454  1 Sn 2.51
10 Sn 0.3752 0.0438 0.8347  4 Se 2.50-2.60
11 Se 0.2656 0.9799 0.6812  2 Sn 2.57-2.60
12 Na 0.1792 0.7626 0.5230  6 Se 2.94-3.17
13 Se 0.0303 0.5857 0.3546  1 Sn 2.51
14 Na 0.3208 0.2374 0.0230  6 Se 2.94-3.17
15 Se 0.6837 0.8016 0.5514  1 Sn 2.50
16 Sn 0.1248 0.9562 0.3347  4 Se 2.50-2.60
17 Sn 0.6248 0.9562 0.1653  4 Se 2.50-2.60
18 Na 0.9892 0.4525 0.8335  5 Se 2.98-3.14
19 Se 0.7656 0.9799 0.8188  2 Sn 2.57-2.60
20 Sn 0.8752 0.0438 0.6653  4 Se 2.50-2.60
21 Se 0.1837 0.8016 0.9486  1 Sn 2.50
22 Na 0.0108 0.5475 0.1665  5 Se 2.98-3.14
23 Na 0.4892 0.4525 0.6665  5 Se 2.98-3.14
24 Na 0.5108 0.5475 0.3335  5 Se 2.98-3.14